(1)
! LaTbTh, relaxed, DFT PBE-GGA; values from VASP
! **ΔE to the lowest computed polymorph**: 0.000 eV per atom
! **Fermi-level density of states**: 3.882 states/eV per cell
! **Energy of formation**: 0.009 eV/atom
! **Mass density**: 8.7 g cm⁻³
&SYSTEM
  ibrav = 0, nat = 3, ntyp = 3
/
ATOMIC_SPECIES
La 138.91 La.upf
Tb 158.93 Tb.upf
Th 232.04 Th.upf
ATOMIC_POSITIONS crystal
La 0.1817 0.3129 0.3238
Tb 0.6358 0.7625 0.9660
Th 0.4071 0.5358 0.6500
CELL_PARAMETERS angstrom
-1.5615 -0.3568 3.2621
1.4185 -2.2697 2.4551
4.9897 5.6350 5.0292

---

(2)
! La10Tb4Th, relaxed, DFT PBE-GGA; values from VASP
! **Fermi-level density of states**: 22.466 states/eV per cell
! **Energy of formation**: 0.194 eV/atom
! **Mass density**: 7.0 g cm⁻³
&SYSTEM
  ibrav = 0, nat = 15, ntyp = 3
/
ATOMIC_SPECIES
La 138.91 La.upf
Tb 158.93 Tb.upf
Th 232.04 Th.upf
ATOMIC_POSITIONS crystal
La 0.2500 0.5000 0.5000
La 0.7056 0.2155 0.7847
La 0.0789 0.2153 0.2155
La 0.5097 0.7847 0.7845
La 0.7058 0.7845 0.2153
La 0.2944 0.7845 0.2153
La 0.7500 0.5000 0.5000
La 0.2942 0.2155 0.7847
La 0.4903 0.2153 0.2155
La 0.9211 0.7847 0.7845
Tb 0.2228 0.0004 0.5539
Tb 0.7768 0.4461 0.0004
Tb 0.2232 0.5539 0.9996
Tb 0.7772 0.9996 0.4461
Th 0.0000 0.0000 0.0000
CELL_PARAMETERS angstrom
-5.8972 3.4195 4.5425
-7.6050 -4.8080 1.1327
0.1904 -1.6919 8.9072